[1]
{"formula": "SrOsIO4", "functional": "PBE", "state": "relaxed", "formation_energy_uncorrected_ev_per_fu": -9.96, "final_energy_ev_per_atom": -6.32, "dos_ef_per_ev_fu": 3.4, "lattice": [[-1.930, -5.081, -4.411], [-4.324, -4.747, 2.786], [-6.435, 2.560, -2.260]], "species": ["O", "O", "O", "O", "O", "O", "O", "O", "I", "I", "Sr", "Sr", "Os", "Os"], "frac_coords": [[0.487, 0.140, 0.143], [0.860, 0.513, 0.857], [0.303, 0.303, 0.506], [0.523, 0.523, 0.210], [0.140, 0.487, 0.143], [0.697, 0.697, 0.494], [0.477, 0.477, 0.790], [0.513, 0.860, 0.857], [0.015, 0.015, 0.253], [0.985, 0.985, 0.747], [0.244, 0.244, 0.868], [0.756, 0.756, 0.132], [0.370, 0.370, 0.266], [0.630, 0.630, 0.734]]}

[2]
{"formula": "SrOsI2O", "functional": "PBE", "state": "relaxed", "relative_energy_mev_per_atom": 0, "formation_energy_uncorrected_ev_per_fu": -2.79, "final_energy_ev_per_atom": -4.75, "dos_ef_per_ev_fu": 4.0, "lattice": [[-0.860, -4.394, -3.701], [2.388, -3.677, 3.811], [-3.440, -0.630, 1.547]], "species": ["Sr", "I", "I", "O", "Os"], "frac_coords": [[0.500, 0.500, 0.500], [0.500, 0.000, 0.000], [0.000, 0.500, 0.000], [0.000, 0.000, 0.500], [0.000, 0.000, 0.000]]}